1.
Below is a relaxed Mg2SiW crystal, with properties calculated at the PBE level.

Lattice parameters (Å, degrees): 6.365 6.365 6.365 90.00 90.00 90.00
Fractional coordinates of all 16 atoms:
Mg: 0.000 0.000 0.000
Mg: 0.000 0.500 0.500
Mg: 0.250 0.250 0.250
Mg: 0.250 0.750 0.750
Mg: 0.500 0.000 0.500
Mg: 0.500 0.500 0.000
Mg: 0.750 0.250 0.750
Mg: 0.750 0.750 0.250
Si: 0.000 0.000 0.500
Si: 0.000 0.500 0.000
Si: 0.500 0.000 0.000
Si: 0.500 0.500 0.500
W: 0.250 0.250 0.750
W: 0.250 0.750 0.250
W: 0.750 0.250 0.250
W: 0.750 0.750 0.750

Values from the calculation:
ρ	6.710	g cm⁻³
formation energy (no corrections)	1.7	eV per formula unit
E	-4.97	eV/atom
volume	257.89	Å³ per cell

2.
Below is a relaxed MgSi2W crystal, with properties calculated at the PBE level.

Lattice parameters (Å, degrees): 2.755 2.755 8.267 90.00 90.00 90.00
Fractional coordinates of all 4 atoms:
Mg: 0.000 0.000 0.000
Si: 0.000 0.000 0.494
Si: 0.500 0.500 0.261
W: 0.500 0.500 0.727

Values from the calculation:
ρ	6.996	g cm⁻³
formation energy (no corrections)	1.5	eV per formula unit
E	-5.96	eV/atom
volume	62.73	Å³ per cell

3.
Below is a relaxed MgSi2W2 crystal, with properties calculated at the PBE level.

Lattice parameters (Å, degrees): 6.683 6.683 3.320 90.00 90.00 90.00
Fractional coordinates of all 10 atoms:
Mg: 0.000 0.000 0.000
Mg: 0.500 0.500 0.000
Si: 0.131 0.369 0.000
Si: 0.369 0.869 0.000
Si: 0.631 0.131 0.000
Si: 0.869 0.631 0.000
W: 0.164 0.664 0.500
W: 0.336 0.164 0.500
W: 0.664 0.836 0.500
W: 0.836 0.336 0.500

Values from the calculation:
ρ	10.038	g cm⁻³
polymorph energy (0 for the lowest one)	0.000	eV/atom
formation energy (no corrections)	-0.4	eV per formula unit
E	-7.75	eV/atom
volume	148.27	Å³ per cell

4.
Below is a relaxed Mg2SiW crystal, with properties calculated at the PBE level.

Lattice parameters (Å, degrees): 5.062 5.062 2.736 90.00 90.00 90.00
Fractional coordinates of all 4 atoms:
Mg: 0.000 0.500 0.000
Mg: 0.500 0.000 0.000
Si: 0.000 0.000 0.500
W: 0.500 0.500 0.500

Values from the calculation:
ρ	6.173	g cm⁻³
formation energy (no corrections)	2.2	eV per formula unit
E	-4.85	eV/atom
volume	70.08	Å³ per cell

5.
Below is a relaxed Mg6SiW crystal, with properties calculated at the PBE level.

Lattice parameters (Å, degrees): 4.803 6.031 10.563 90.00 90.00 90.00
Fractional coordinates of all 16 atoms:
Mg: 0.000 0.000 0.000
Mg: 0.000 0.241 0.746
Mg: 0.000 0.259 0.246
Mg: 0.000 0.500 0.500
Mg: 0.000 0.741 0.246
Mg: 0.000 0.759 0.746
Mg: 0.500 0.000 0.159
Mg: 0.500 0.249 0.406
Mg: 0.500 0.251 0.906
Mg: 0.500 0.500 0.659
Mg: 0.500 0.749 0.906
Mg: 0.500 0.751 0.406
Si: 0.000 0.000 0.527
Si: 0.000 0.500 0.027
W: 0.500 0.000 0.643
W: 0.500 0.500 0.143

Values from the calculation:
ρ	3.883	g cm⁻³
polymorph energy (0 for the lowest one)	0.000	eV/atom
formation energy (no corrections)	1.9	eV per formula unit
E	-3.26	eV/atom
volume	305.98	Å³ per cell

6.
Below is a relaxed MgSi2W crystal, with properties calculated at the PBE level.

Lattice parameters (Å, degrees): 4.258 4.258 3.347 90.00 90.00 90.00
Fractional coordinates of all 4 atoms:
Mg: 0.000 0.000 0.000
Si: 0.000 0.500 0.500
Si: 0.500 0.000 0.500
W: 0.500 0.500 0.000

Values from the calculation:
ρ	7.232	g cm⁻³
formation energy (no corrections)	1.2	eV per formula unit
E	-6.05	eV/atom
volume	60.69	Å³ per cell

7.
Below is a relaxed Mg2SiW crystal, with properties calculated at the PBE level.

Lattice parameters (Å, degrees): 3.928 3.928 8.304 90.00 90.00 90.00
Fractional coordinates of all 8 atoms:
Mg: 0.000 0.000 0.000
Mg: 0.000 0.500 0.250
Mg: 0.500 0.000 0.750
Mg: 0.500 0.500 0.500
Si: 0.000 0.500 0.750
Si: 0.500 0.000 0.250
W: 0.000 0.000 0.500
W: 0.500 0.500 0.000

Values from the calculation:
ρ	6.752	g cm⁻³
formation energy (no corrections)	0.8	eV per formula unit
E	-5.19	eV/atom
volume	128.15	Å³ per cell

8.
Below is a relaxed MgSi2W crystal, with properties calculated at the PBE level.

Lattice parameters (Å, degrees): 3.164 4.124 4.685 90.00 90.00 90.00
Fractional coordinates of all 4 atoms:
Mg: 0.000 0.000 0.000
Si: 0.000 0.500 0.500
Si: 0.500 0.500 0.000
W: 0.500 0.000 0.500

Values from the calculation:
ρ	7.179	g cm⁻³
formation energy (no corrections)	1.4	eV per formula unit
E	-5.99	eV/atom
volume	61.14	Å³ per cell

9.
Below is a relaxed MgSi2W crystal, with properties calculated at the PBE level.

Lattice parameters (Å, degrees): 5.646 7.470 2.852 90.00 90.00 90.00
Fractional coordinates of all 8 atoms:
Mg: 0.000 0.000 0.000
Mg: 0.500 0.500 0.000
Si: 0.250 0.250 0.500
Si: 0.250 0.750 0.500
Si: 0.750 0.250 0.500
Si: 0.750 0.750 0.500
W: 0.000 0.500 0.000
W: 0.500 0.000 0.000

Values from the calculation:
ρ	7.298	g cm⁻³
formation energy (no corrections)	1.1	eV per formula unit
E	-6.08	eV/atom
volume	120.28	Å³ per cell

10.
Below is a relaxed MgSi2W crystal, with properties calculated at the PBE level.

Lattice parameters (Å, degrees): 8.397 3.126 5.259 90.00 102.50 90.00
Fractional coordinates of all 8 atoms:
Mg: 0.000 0.000 0.000
Mg: 0.500 0.500 0.000
Si: 0.236 0.000 0.675
Si: 0.264 0.500 0.325
Si: 0.736 0.500 0.675
Si: 0.764 0.000 0.325
W: 0.000 0.500 0.500
W: 0.500 0.000 0.500

Values from the calculation:
ρ	6.513	g cm⁻³
formation energy (no corrections)	0.3	eV per formula unit
E	-6.28	eV/atom
volume	134.77	Å³ per cell

11.
Below is a relaxed Mg2SiW crystal, with properties calculated at the PBE level.

Lattice parameters (Å, degrees): 7.567 7.567 5.066 90.00 90.00 90.00
Fractional coordinates of all 16 atoms:
Mg: 0.219 0.250 0.125
Mg: 0.250 0.719 0.375
Mg: 0.250 0.781 0.875
Mg: 0.281 0.250 0.625
Mg: 0.719 0.750 0.625
Mg: 0.750 0.219 0.875
Mg: 0.750 0.281 0.375
Mg: 0.781 0.750 0.125
Si: 0.000 0.000 0.000
Si: 0.000 0.500 0.250
Si: 0.500 0.000 0.750
Si: 0.500 0.500 0.500
W: 0.000 0.000 0.500
W: 0.000 0.500 0.750
W: 0.500 0.000 0.250
W: 0.500 0.500 0.000

Values from the calculation:
ρ	5.967	g cm⁻³
formation energy (no corrections)	2.8	eV per formula unit
E	-4.69	eV/atom
volume	290.03	Å³ per cell

12.
Below is a relaxed Mg2SiW crystal, with properties calculated at the PBE level.

Lattice parameters (Å, degrees): 2.759 4.826 5.114 90.00 102.36 90.00
Fractional coordinates of all 4 atoms:
Mg: 0.186 0.000 0.251
Mg: 0.814 0.000 0.749
Si: 0.000 0.500 0.500
W: 0.500 0.500 0.000

Values from the calculation:
ρ	6.505	g cm⁻³
formation energy (no corrections)	1.2	eV per formula unit
E	-5.08	eV/atom
volume	66.51	Å³ per cell